{
  "formula": "Sc2AlPb",
  "functional": "GGA-PBE",
  "state": "relaxed",
  "sg": "No. 25",
  "vol_a3_per_cell": 93.0,
  "dft_energy_ha_per_atom": -0.191,
  "density_g_cm3": 5.78,
  "total_magnetization_mub_per_fu": 0.00,
  "lattice": [[3.484, 0.000, 0.000], [0.000, 4.371, 0.000], [0.000, 0.000, 6.110]],
  "species": ["Sc", "Sc", "Al", "Pb"],
  "frac_coords": [[0.000, 0.000, 0.000], [0.500, 0.500, 0.268], [0.000, 0.000, 0.458], [0.500, 0.500, 0.761]]
}